Record 1
# PBE-GGA Tb5Pr12Tm2, optimized geometry
data_Tb5Pr12Tm2
_chemical_formula_sum 'Tb10 Pr24 Tm4'
_cell_length_a 19.376
_cell_length_b 7.599
_cell_length_c 10.101
_cell_angle_alpha 90.00
_cell_angle_beta 117.03
_cell_angle_gamma 90.00
_symmetry_space_group_name_H-M 'C 1 2/m 1'
_symmetry_Int_Tables_number 12
loop_
_symmetry_equiv_pos_as_xyz
'x,y,z'
'-x,-y,-z'
'-x,y,-z'
'x,-y,z'
'x+1/2,y+1/2,z'
'-x+1/2,-y+1/2,-z'
'-x+1/2,y+1/2,-z'
'x+1/2,-y+1/2,z'
loop_
_atom_site_label
_atom_site_type_symbol
_atom_site_fract_x
_atom_site_fract_y
_atom_site_fract_z
_atom_site_occupancy
Tb1 Tb 0.000 0.000 0.000 1
Tb2 Tb 0.174 0.000 0.670 1
Tb3 Tb 0.178 0.500 0.693 1
Pr1 Pr 0.003 0.000 0.709 1
Pr2 Pr 0.009 0.500 0.829 1
Pr3 Pr 0.160 0.249 0.348 1
Pr4 Pr 0.165 0.237 0.997 1
Tm1 Tm 0.000 0.300 0.500 1
# DFT total energy ... -4.54 eV per atom
# ΔH_f (0 K) ... 165 meV per atom

***

Record 2
# PBE-GGA NdTmTe2O, optimized geometry
data_NdTmTe2O
_chemical_formula_sum 'Nd2 Tm2 Te4 O2'
_cell_length_a 4.201
_cell_length_b 4.201
_cell_length_c 15.612
_cell_angle_alpha 90.00
_cell_angle_beta 90.00
_cell_angle_gamma 90.00
_symmetry_space_group_name_H-M 'P 4/n m m'
_symmetry_Int_Tables_number 129
loop_
_symmetry_equiv_pos_as_xyz
'x,y,z'
'-x,-y,-z'
'-y+1/2,x,z'
'y+1/2,-x,-z'
'-x+1/2,-y+1/2,z'
'x+1/2,y+1/2,-z'
'y,-x+1/2,z'
'-y,x+1/2,-z'
'x+1/2,-y,-z'
'-x+1/2,y,z'
'-y,-x,-z'
'y,x,z'
'-x,y+1/2,-z'
'x,-y+1/2,z'
'y+1/2,x+1/2,-z'
'-y+1/2,-x+1/2,z'
loop_
_atom_site_label
_atom_site_type_symbol
_atom_site_fract_x
_atom_site_fract_y
_atom_site_fract_z
_atom_site_occupancy
Nd1 Nd 0.250 0.250 0.072 1
Tm1 Tm 0.250 0.250 0.627 1
Te1 Te 0.250 0.250 0.415 1
Te2 Te 0.250 0.250 0.807 1
O1 O 0.250 0.750 0.000 1
# Formation energy (no corrections) ... -2.04 eV/atom
# DFT total energy ... -6.14 eV per atom

***

Record 3
# PBE-GGA KTbBe2F8, optimized geometry
data_KTbBe2F8
_chemical_formula_sum 'K2 Tb2 Be4 F16'
_cell_length_a 8.491
_cell_length_b 5.546
_cell_length_c 8.163
_cell_angle_alpha 90.00
_cell_angle_beta 92.23
_cell_angle_gamma 90.00
_symmetry_space_group_name_H-M 'C 1 2/m 1'
_symmetry_Int_Tables_number 12
loop_
_symmetry_equiv_pos_as_xyz
'x,y,z'
'-x,-y,-z'
'-x,y,-z'
'x,-y,z'
'x+1/2,y+1/2,z'
'-x+1/2,-y+1/2,-z'
'-x+1/2,y+1/2,-z'
'x+1/2,-y+1/2,z'
loop_
_atom_site_label
_atom_site_type_symbol
_atom_site_fract_x
_atom_site_fract_y
_atom_site_fract_z
_atom_site_occupancy
K1 K 0.000 0.000 0.000 1
Tb1 Tb 0.000 0.000 0.500 1
Be1 Be 0.130 0.500 0.272 1
F1 F 0.025 0.266 0.300 1
F2 F 0.204 0.500 0.110 1
F3 F 0.249 0.500 0.430 1
# Formation energy (no corrections) ... -3.49 eV/atom
# DFT total energy ... -5.83 eV per atom

***

Question: The lowest DFT total energy belongs to which entry?
Answer: NdTmTe2O

***

Question: The lowest DFT total energy belongs to which entry?
Answer: NdTmTe2O

***

Question: DFT total energy of number 1 (Tb5Pr12Tm2)?
Answer: -4.54 eV per atom

***

Question: What is the DFT total energy in the third record?
Answer: -5.83 eV per atom